Entry 1:
Compound: TmAsO4
Source: the Open Quantum Materials Database
Functional: PBE
Structure: relaxed

Symmetry: I4_1/amd, No. 141
Calculated total energy in eV/f.u.: -43.3
Calculated volume in Å³/atom: 12.73

Lattice parameters (Å, degrees): 5.847 5.847 5.847 106.73 106.73 115.10
Atoms (fractional coordinates):
1 As 0.500 0.500 0.000
2 As 0.250 0.750 0.500
3 O 0.506 0.321 0.185
4 O 0.679 0.864 0.185
5 O 0.071 0.386 0.315
6 O 0.244 0.929 0.315
7 O 0.071 0.756 0.685
8 O 0.614 0.929 0.685
9 O 0.136 0.321 0.815
10 O 0.679 0.494 0.815
11 Tm 0.000 0.000 0.000
12 Tm 0.750 0.250 0.500

=====

Entry 2:
Compound: TmAs2O
Source: the Open Quantum Materials Database
Functional: PBE
Structure: relaxed

Energy above the most stable polymorph in this dataset in meV per atom: 0.0
Symmetry: P4/nmm, No. 129
Calculated total energy in eV/f.u.: -24.6
Calculated volume in Å³/atom: 18.84

Lattice parameters (Å, degrees): 3.758 3.758 10.669 90.00 90.00 90.00
Atoms (fractional coordinates):
1 As 0.750 0.750 0.282
2 As 0.750 0.250 0.500
3 As 0.250 0.750 0.500
4 As 0.250 0.250 0.718
5 O 0.750 0.250 0.000
6 O 0.250 0.750 0.000
7 Tm 0.250 0.250 0.104
8 Tm 0.750 0.750 0.896

=====

Entry 3:
Compound: TmAs2O
Source: the Open Quantum Materials Database
Functional: PBE
Structure: relaxed

Energy above the most stable polymorph in this dataset in meV per atom: 1036.0
Symmetry: P4/nmm, No. 129
Calculated total energy in eV/f.u.: -20.4
Calculated volume in Å³/atom: 19.35

Lattice parameters (Å, degrees): 4.673 4.673 7.088 90.00 90.00 90.00
Atoms (fractional coordinates):
1 As 0.000 0.500 0.052
2 As 0.500 0.000 0.301
3 As 0.000 0.500 0.699
4 As 0.500 0.000 0.948
5 O 0.000 0.000 0.000
6 O 0.500 0.500 0.000
7 Tm 0.000 0.000 0.500
8 Tm 0.500 0.500 0.500

=====

Entry 4:
Compound: TmZnAsO
Source: the Open Quantum Materials Database
Functional: PBE
Structure: relaxed

Symmetry: Pmc2_1, No. 26
Calculated total energy in eV/f.u.: -21.4
Calculated volume in Å³/atom: 18.64

Lattice parameters (Å, degrees): 3.828 5.934 6.565 90.00 90.00 90.00
Atoms (fractional coordinates):
1 As 0.000 0.237 0.325
2 As 0.000 0.763 0.825
3 O 0.500 0.761 0.375
4 O 0.500 0.239 0.875
5 Tm 0.500 0.960 0.098
6 Tm 0.500 0.040 0.598
7 Zn 0.000 0.621 0.456
8 Zn 0.000 0.379 0.956

=====

Entry 5:
Compound: TmZnAsO
Source: the Open Quantum Materials Database
Functional: PBE
Structure: relaxed

Symmetry: Pmc2_1, No. 26
Calculated total energy in eV/f.u.: -21.8
Calculated volume in Å³/atom: 18.89

Lattice parameters (Å, degrees): 4.278 6.056 5.833 90.00 90.00 90.00
Atoms (fractional coordinates):
1 As 0.000 0.274 0.406
2 As 0.000 0.726 0.906
3 O 0.500 0.822 0.395
4 O 0.500 0.178 0.895
5 Tm 0.000 0.746 0.414
6 Tm 0.000 0.254 0.914
7 Zn 0.500 0.864 0.039
8 Zn 0.500 0.136 0.539

=====

Entry 6:
Compound: YZnAsO
Source: the Open Quantum Materials Database
Functional: PBE
Structure: relaxed

Symmetry: Pmc2_1, No. 26
Calculated total energy in eV/f.u.: -23.8
Calculated volume in Å³/atom: 19.61

Lattice parameters (Å, degrees): 4.342 6.132 5.894 90.00 90.00 90.00
Atoms (fractional coordinates):
1 As 0.000 0.272 0.410
2 As 0.000 0.728 0.910
3 O 0.500 0.828 0.392
4 O 0.500 0.172 0.892
5 Y 0.000 0.745 0.415
6 Y 0.000 0.255 0.915
7 Zn 0.500 0.864 0.037
8 Zn 0.500 0.136 0.537

=====

Entry 7:
Compound: YZnAsO
Source: the Open Quantum Materials Database
Functional: PBE
Structure: relaxed

Symmetry: Pmc2_1, No. 26
Calculated total energy in eV/f.u.: -23.5
Calculated volume in Å³/atom: 17.18

Lattice parameters (Å, degrees): 4.911 4.178 6.699 90.00 90.00 90.00
Atoms (fractional coordinates):
1 As 0.000 0.187 0.288
2 As 0.000 0.813 0.788
3 O 0.500 0.699 0.429
4 O 0.500 0.301 0.929
5 Y 0.500 0.787 0.090
6 Y 0.500 0.213 0.590
7 Zn 0.000 0.685 0.447
8 Zn 0.000 0.315 0.947

=====

Entry 8:
Compound: YZrAsO
Source: the Open Quantum Materials Database
Functional: PBE
Structure: relaxed

Energy above the most stable polymorph in this dataset in meV per atom: 185.2
Symmetry: Pmma, No. 51
Calculated total energy in eV/f.u.: -31.6
Calculated volume in Å³/atom: 20.17

Lattice parameters (Å, degrees): 4.132 7.611 5.131 90.00 90.00 90.00
Atoms (fractional coordinates):
1 As 0.000 0.388 0.438
2 As 0.000 0.612 0.938
3 O 0.500 0.837 0.438
4 O 0.500 0.163 0.938
5 Y 0.500 0.141 0.439
6 Y 0.500 0.859 0.939
7 Zr 0.000 0.754 0.439
8 Zr 0.000 0.246 0.939

=====

Entry 9:
Compound: YZrAsO
Source: the Open Quantum Materials Database
Functional: PBE
Structure: relaxed

Energy above the most stable polymorph in this dataset in meV per atom: 192.0
Symmetry: Pmc2_1, No. 26
Calculated total energy in eV/f.u.: -31.6
Calculated volume in Å³/atom: 21.66

Lattice parameters (Å, degrees): 3.981 7.527 5.783 90.00 90.00 90.00
Atoms (fractional coordinates):
1 As 0.000 0.344 0.446
2 As 0.000 0.656 0.946
3 O 0.500 0.842 0.364
4 O 0.500 0.158 0.864
5 Y 0.000 0.724 0.450
6 Y 0.000 0.276 0.950
7 Zr 0.500 0.109 0.494
8 Zr 0.500 0.891 0.994

=====

Entry 10:
Compound: YZrAsO
Source: the Open Quantum Materials Database
Functional: PBE
Structure: relaxed

Energy above the most stable polymorph in this dataset in meV per atom: 498.0
Symmetry: P4/nmm, No. 129
Calculated total energy in eV/f.u.: -30.4
Calculated volume in Å³/atom: 17.87

Lattice parameters (Å, degrees): 4.117 4.117 8.434 90.00 90.00 90.00
Atoms (fractional coordinates):
1 As 0.000 0.500 0.263
2 As 0.500 0.000 0.737
3 O 0.000 0.000 0.000
4 O 0.500 0.500 0.000
5 Y 0.000 0.000 0.500
6 Y 0.500 0.500 0.500
7 Zr 0.500 0.000 0.114
8 Zr 0.000 0.500 0.886

=====

Entry 11:
Compound: YZrAsO
Source: the Open Quantum Materials Database
Functional: PBE
Structure: relaxed

Energy above the most stable polymorph in this dataset in meV per atom: 0.0
Symmetry: P4/nmm, No. 129
Calculated total energy in eV/f.u.: -32.4
Calculated volume in Å³/atom: 19.16

Lattice parameters (Å, degrees): 4.175 4.175 8.795 90.00 90.00 90.00
Atoms (fractional coordinates):
1 As 0.750 0.750 0.301
2 As 0.250 0.250 0.699
3 O 0.750 0.250 0.000
4 O 0.250 0.750 0.000
5 Y 0.250 0.250 0.113
6 Y 0.750 0.750 0.887
7 Zr 0.750 0.250 0.500
8 Zr 0.250 0.750 0.500

=====

Entry 12:
Compound: ZnAs2O
Source: the Open Quantum Materials Database
Functional: PBE
Structure: relaxed

Energy above the most stable polymorph in this dataset in meV per atom: 282.2
Symmetry: P4/nmm, No. 129
Calculated total energy in eV/f.u.: -16.6
Calculated volume in Å³/atom: 19.10

Lattice parameters (Å, degrees): 4.311 4.311 8.223 90.00 90.00 90.00
Atoms (fractional coordinates):
1 As 0.500 0.000 0.341
2 As 0.000 0.000 0.500
3 As 0.500 0.500 0.500
4 As 0.000 0.500 0.659
5 O 0.000 0.000 0.000
6 O 0.500 0.500 0.000
7 Zn 0.500 0.000 0.006
8 Zn 0.000 0.500 0.994